Run w
A plane-wave DFT calculation with PBE was carried out for an optimized crystal structure of SnGeN2.

Structure (CIF):
```
data_SnGeN2
_chemical_formula_sum 'Sn2 Ge2 N4'
_cell_length_a 5.5759
_cell_length_b 5.5759
_cell_length_c 5.4798
_cell_angle_alpha 59.42
_cell_angle_beta 59.42
_cell_angle_gamma 90.00
_space_group_name_H-M_alt 'P 1'
_space_group_IT_number 1
loop_
_space_group_symop_operation_xyz
'x,y,z'
loop_
_atom_site_label
_atom_site_fract_x
_atom_site_fract_y
_atom_site_fract_z
_atom_site_occupancy
Ge1 0.2500 0.7500 0.5000 1
N1 0.8750 0.7766 0.7500 1
N2 0.5266 0.1250 0.2500 1
Ge2 0.5000 0.5000 0.0000 1
N3 0.3750 0.4734 0.7500 1
Sn1 0.7500 0.2500 0.5000 1
N4 0.2234 0.6250 0.2500 1
Sn2 0.0000 0.0000 0.0000 1
```

Computed properties:
Symmetry: No. 122
Size of the total moment: 0.00 Bohr magnetons per cell

Run x
A plane-wave DFT calculation with PBE was carried out for an optimized crystal structure of SnGeN2.

Structure (CIF):
```
data_SnGeN2
_chemical_formula_sum 'Sn1 Ge1 N2'
_cell_length_a 6.3571
_cell_length_b 6.3571
_cell_length_c 6.3571
_cell_angle_alpha 29.84
_cell_angle_beta 29.84
_cell_angle_gamma 29.84
_space_group_name_H-M_alt 'P 1'
_space_group_IT_number 1
loop_
_space_group_symop_operation_xyz
'x,y,z'
loop_
_atom_site_label
_atom_site_fract_x
_atom_site_fract_y
_atom_site_fract_z
_atom_site_occupancy
N1 0.8946 0.8946 0.8946 1
N2 0.1054 0.1054 0.1054 1
Sn1 0.5000 0.5000 0.5000 1
Ge1 0.0000 0.0000 0.0000 1
```

Computed properties:
Symmetry: No. 166
Size of the total moment: 0.00 Bohr magnetons per cell

If you had to bet on the most stable structure above, which would it be? Bet on run w.